Entry from Alexandria: a relaxed structure of TiPtN2O (PBE-GGA).

formation energy (no corrections)	0.70	eV/atom
density of states at the Fermi level	2.97	states/eV/f.u.
calculated total energy	-6.405	eV/atom

```
TiPtN2O
1.0
-0.0489 3.8801 -0.0637
-1.2146 -0.0758 -3.6852
-3.7697 -0.0271 1.2430
N Pt Ti O
2 1 1 1
direct
0.0000 0.5000 0.0000
0.5000 0.0000 0.0000
0.0000 0.0000 0.0000
0.5000 0.5000 0.5000
0.0000 0.0000 0.5000
```